This record from the Alexandria database describes crystalline Na3Tl4Cd4 at its relaxed geometry. The functional is PBE-GGA.

- V: 29.70 Å³/atom
- E_form: -0.29 eV/f.u.
- Density of states at the Fermi level: 3.393 states/eV/cell
- Uncorrected energy: -1.58 eV/atom
- Theoretical density: 6.8 g cm⁻³

abc: 4.7288 8.6296 9.3977
angles: 117.33 104.57 90.00
Last column: nearest neighbours and their distance in Å.
Fractional coordinates of all 11 atoms:
Na: 0.1267 0.1267 0.2534  6 Cd 3.39-3.43, 6 Tl 3.58-3.69
Cd: 0.5000 0.8324 0.0000  1 Cd 2.89, 2 Tl 2.95
Tl: 0.6692 0.8680 0.3385  4 Cd 2.95-3.13
Tl: 0.3308 0.5295 0.6615  4 Cd 2.95-3.13
Tl: 0.3308 0.1320 0.6615  4 Cd 2.95-3.13
Cd: 0.2217 0.7217 0.4435  6 Tl 3.04-3.13, 2 Na 3.39
Cd: 0.5000 0.1676 0.0000  1 Cd 2.89, 2 Tl 2.95
Na: 0.0000 0.5000 0.0000  6 Cd 3.55-3.72
Na: 0.8733 0.8733 0.7466  6 Cd 3.39-3.43, 6 Tl 3.58-3.69
Cd: 0.7783 0.2783 0.5565  6 Tl 3.04-3.13, 2 Na 3.39
Tl: 0.6692 0.4705 0.3385  4 Cd 2.95-3.13